First-principles (PBE) data for a geometry-optimized Y4CO structure, as listed in Alexandria.

Results
electronic total energy = -7.743 eV/atom
magnetic moment = 0.287 μB/atom
calculated volume = 21.816 A^3/atom

Cell lengths 5.983, 3.572, 6.125 Å; angles 90.00, 90.12, 90.00 degrees
Element x y z (fractional)
Y 0.226 0.000 0.170
Y 0.231 0.500 0.664
Y 0.769 0.500 0.336
Y 0.774 0.000 0.830
C 0.000 0.000 0.500
O 0.000 0.500 0.000